No. 1
The following is a meta-GGA SCAN calculation of a crystal of MnCdAs2 relaxed with PBEsol, from the Alexandria database.

- SG: Imm2, No. 44
- Total DFT energy (no corrections): -22.305 eV per atom
- ΔE_f: -0.042 eV per atom

abc: 3.020 3.647 6.920
angles: 105.28 102.61 90.00
Element x y z (fractional)
Mn 0.286 0.786 0.571
Cd 0.559 0.559 0.118
As 0.727 0.227 0.454
As 0.929 0.929 0.858

No. 2
The following is a meta-GGA SCAN calculation of a crystal of Mn2CdAs2 relaxed with PBEsol, from the Alexandria database.

- SG: I4/mmm, No. 139
- Total DFT energy (no corrections): -21.198 eV per atom
- ΔE_f: 0.263 eV per atom

abc: 3.797 3.797 5.922
angles: 108.70 108.70 90.00
Element x y z (fractional)
Cd 0.000 0.000 0.000
Mn 0.611 0.611 0.223
Mn 0.389 0.389 0.777
As 0.750 0.250 0.500
As 0.250 0.750 0.500

No. 3
The following is a meta-GGA SCAN calculation of a crystal of MnCdAs2 relaxed with PBEsol, from the Alexandria database.

- SG: P4/mmm, No. 123
- Total DFT energy (no corrections): -22.215 eV per atom
- ΔE_f: 0.048 eV per atom

abc: 2.903 2.903 8.133
angles: 90.00 90.00 90.00
Element x y z (fractional)
As 0.000 0.000 0.675
As 0.000 0.000 0.325
Cd 0.500 0.500 0.000
Mn 0.500 0.500 0.500

No. 4
The following is a meta-GGA SCAN calculation of a crystal of Mn2CdAs2 relaxed with PBEsol, from the Alexandria database.

- SG: I4/mmm, No. 139
- Total DFT energy (no corrections): -21.532 eV per atom
- ΔE_f: -0.071 eV per atom

abc: 4.051 4.051 5.562
angles: 111.36 111.36 90.00
Element x y z (fractional)
As 0.629 0.629 0.258
As 0.371 0.371 0.742
Mn 0.750 0.250 0.500
Mn 0.250 0.750 0.500
Cd 0.000 0.000 0.000

- Number 1 is which compound?
  MnCdAs2

Please write out number 2 again, unchanged.
The following is a meta-GGA SCAN calculation of a crystal of Mn2CdAs2 relaxed with PBEsol, from the Alexandria database.

- SG: I4/mmm, No. 139
- Total DFT energy (no corrections): -21.198 eV per atom
- ΔE_f: 0.263 eV per atom

abc: 3.797 3.797 5.922
angles: 108.70 108.70 90.00
Element x y z (fractional)
Cd 0.000 0.000 0.000
Mn 0.611 0.611 0.223
Mn 0.389 0.389 0.777
As 0.750 0.250 0.500
As 0.250 0.750 0.500

What did the first record say?
The following is a meta-GGA SCAN calculation of a crystal of MnCdAs2 relaxed with PBEsol, from the Alexandria database.

- SG: Imm2, No. 44
- Total DFT energy (no corrections): -22.305 eV per atom
- ΔE_f: -0.042 eV per atom

abc: 3.020 3.647 6.920
angles: 105.28 102.61 90.00
Element x y z (fractional)
Mn 0.286 0.786 0.571
Cd 0.559 0.559 0.118
As 0.727 0.227 0.454
As 0.929 0.929 0.858